(1)
A geometry-optimized ZrSn2As2 structure. Source: the Alexandria database, functional GGA-PBE.

Cell lengths 7.2217, 7.2217, 4.4610 Å; angles 90.00, 90.00, 90.00 degrees
Sites, in units of the cell vectors:
1 Sn 0.6656 0.8344 0.5000
2 Sn 0.8344 0.3344 0.5000
3 Sn 0.3344 0.1656 0.5000
4 Sn 0.1656 0.6656 0.5000
5 As 0.3506 0.8506 0.0000
6 As 0.8506 0.6494 0.0000
7 As 0.1494 0.3506 0.0000
8 As 0.6494 0.1494 0.0000
9 Zr 0.0000 0.0000 0.0000
10 Zr 0.5000 0.5000 0.0000

Values from the calculation:
- Spin magnetization: 0.00 μB/cell
- Fermi-level density of states: 5.275 states/eV/cell
- DFT total energy: -53.67 eV for the cell shown
- Space group: P4/mbm
- Energy of formation: -0.98 eV per formula unit

=====

(2)
A geometry-optimized Zr2SnAs2 structure. Source: the Alexandria database, functional GGA-PBE.

Cell lengths 7.6754, 7.6754, 3.5408 Å; angles 90.00, 90.00, 90.00 degrees
Sites, in units of the cell vectors:
1 As 0.8605 0.6395 0.0000
2 As 0.1395 0.3605 0.0000
3 As 0.3605 0.8605 0.0000
4 As 0.6395 0.1395 0.0000
5 Zr 0.8486 0.3486 0.5000
6 Zr 0.6514 0.8486 0.5000
7 Zr 0.1514 0.6514 0.5000
8 Zr 0.3486 0.1514 0.5000
9 Sn 0.5000 0.5000 0.0000
10 Sn 0.0000 0.0000 0.0000

Values from the calculation:
- Spin magnetization: 0.00 μB/cell
- Fermi-level density of states: 9.200 states/eV/cell
- DFT total energy: -66.83 eV for the cell shown
- Space group: P4/mbm
- Energy of formation: -3.02 eV per formula unit

=====

(3)
A geometry-optimized Zr2SnAs2 structure. Source: the Alexandria database, functional GGA-PBE.

Cell lengths 3.8270, 3.8270, 7.7769 Å; angles 75.76, 75.76, 90.00 degrees
Site moments in Bohr magnetons follow the coordinates.
Sites, in units of the cell vectors:
1 As 0.7500 0.2500 0.5000  0.00
2 As 0.2500 0.7500 0.5000  0.00
3 Zr 0.3909 0.3909 0.2181  0.10
4 Zr 0.6091 0.6091 0.7819  0.10
5 Sn 0.0000 0.0000 0.0000  0.00

Values from the calculation:
- Spin magnetization: 0.28 μB/cell
- Fermi-level density of states: 2.140 states/eV/cell
- DFT total energy: -33.29 eV for the cell shown
- Space group: I4/mmm
- Energy of formation: -2.89 eV per formula unit

=====

(4)
A geometry-optimized ZrSnAs2 structure. Source: the Alexandria database, functional GGA-PBE.

Cell lengths 6.3322, 6.3322, 7.6701 Å; angles 65.62, 65.62, 90.00 degrees
Sites, in units of the cell vectors:
1 As 0.8750 0.8470 0.7500
2 As 0.5970 0.1250 0.2500
3 As 0.3750 0.4030 0.7500
4 As 0.1530 0.6250 0.2500
5 Zr 0.5000 0.5000 0.0000
6 Zr 0.2500 0.7500 0.5000
7 Sn 0.0000 0.0000 0.0000
8 Sn 0.7500 0.2500 0.5000

Values from the calculation:
- Spin magnetization: 0.00 μB/cell
- Fermi-level density of states: 1.703 states/eV/cell
- DFT total energy: -45.35 eV for the cell shown
- Space group: I-42d
- Energy of formation: -0.82 eV per formula unit

=====

(5)
A geometry-optimized Zr2Sn2As structure. Source: the Alexandria database, functional GGA-PBE.

Cell lengths 7.2338, 7.2338, 4.4242 Å; angles 90.00, 90.00, 90.00 degrees
Sites, in units of the cell vectors:
1 As 0.5000 0.5000 0.0000
2 As 0.0000 0.0000 0.0000
3 Zr 0.3319 0.8319 0.0000
4 Zr 0.8319 0.6681 0.0000
5 Zr 0.6681 0.1681 0.0000
6 Zr 0.1681 0.3319 0.0000
7 Sn 0.3578 0.1422 0.5000
8 Sn 0.8578 0.3578 0.5000
9 Sn 0.6422 0.8578 0.5000
10 Sn 0.1422 0.6422 0.5000

Values from the calculation:
- Spin magnetization: 0.00 μB/cell
- Fermi-level density of states: 6.636 states/eV/cell
- DFT total energy: -64.63 eV for the cell shown
- Space group: P4/mbm
- Energy of formation: -2.57 eV per formula unit

=====

(6)
A geometry-optimized ZrSnAs2 structure. Source: the Alexandria database, functional GGA-PBE.

Cell lengths 3.8509, 3.8509, 7.6813 Å; angles 75.48, 75.48, 60.00 degrees
Sites, in units of the cell vectors:
1 As 0.2570 0.2570 0.2291
2 As 0.0723 0.0723 0.7832
3 Sn 0.5034 0.5034 0.4898
4 Zr 0.6674 0.6674 0.9979

Values from the calculation:
- Spin magnetization: 0.00 μB/cell
- Fermi-level density of states: 1.431 states/eV/cell
- DFT total energy: -23.68 eV for the cell shown
- Space group: R3m
- Energy of formation: -1.83 eV per formula unit

=====

(7)
A geometry-optimized Zr2SnAs2 structure. Source: the Alexandria database, functional GGA-PBE.

Cell lengths 7.6918, 7.6918, 3.5652 Å; angles 90.00, 90.00, 90.00 degrees
Sites, in units of the cell vectors:
1 As 0.3575 0.1425 0.5000
2 As 0.8575 0.3575 0.5000
3 As 0.1425 0.6425 0.5000
4 As 0.6425 0.8575 0.5000
5 Zr 0.3490 0.8490 0.0000
6 Zr 0.1510 0.3490 0.0000
7 Zr 0.6510 0.1510 0.0000
8 Zr 0.8490 0.6510 0.0000
9 Sn 0.0000 0.0000 0.0000
10 Sn 0.5000 0.5000 0.0000

Values from the calculation:
- Spin magnetization: 0.00 μB/cell
- Fermi-level density of states: 7.557 states/eV/cell
- DFT total energy: -67.60 eV for the cell shown
- Space group: P4/mbm
- Energy of formation: -3.40 eV per formula unit

=====

(8)
A geometry-optimized ZrSn3As structure. Source: the Alexandria database, functional GGA-PBE.

Cell lengths 5.5518, 5.5518, 5.5518 Å; angles 90.00, 90.00, 90.00 degrees
Sites, in units of the cell vectors:
1 Sn 0.0000 0.5000 0.0000
2 Sn 0.5000 0.0000 0.0000
3 Sn 0.0000 0.0000 0.5000
4 Zr 0.0000 0.0000 0.0000
5 As 0.5000 0.5000 0.5000

Values from the calculation:
- Spin magnetization: 0.00 μB/cell
- Fermi-level density of states: 4.996 states/eV/cell
- DFT total energy: -21.85 eV for the cell shown
- Space group: Pm-3m
- Energy of formation: 3.35 eV per formula unit